No. 1
Below is an optimized crystal structure of CaLaBe2Ru, with properties calculated at the GGA-PBEsol level.

Output
E in eV per atom: -3.850
Symmetry: P4/mmm (123)
DOS(E_F) in states/eV per cell: 4.58
DFT formation energy in eV/atom: 1.281

```
CaLaBe2Ru
1.0
-2.7533 -2.2769 -3.1090
2.5430 -4.3129 0.9066
-3.2670 -1.1423 3.7299
Ru Ca Be La
1 1 2 1
Cartesian
-1.3767 -1.1385 -1.5545
-1.7386 -3.8661 0.7637
-1.6335 -0.5712 1.8649
1.2715 -2.1565 0.4533
0.0000 0.0000 0.0000
```

---

No. 2
Below is an optimized crystal structure of Li2CaBeN, with properties calculated at the GGA-PBEsol level.

Output
E in eV per atom: -2.576
Symmetry: P4/mmm (123)
Formation energy (no corrections) in eV per atom: 1.143
DOS(E_F) in states/eV per cell: 2.24

```
Li2CaBeN
1.0
-1.0949 -2.4618 2.9373
5.3217 -0.8315 1.2869
-0.1821 4.2752 3.5153
Be Ca Li N
1 1 2 1
Cartesian
2.0223 0.4910 3.8697
0.0000 0.0000 0.0000
-0.0911 2.1376 1.7576
2.6608 -0.4157 0.6435
-0.5475 -1.2309 1.4686
```

---

No. 3
Below is an optimized crystal structure of LiCaBeSn2, with properties calculated at the GGA-PBEsol level.

Output
E in eV per atom: -3.393
Symmetry: P4/mmm (123)
DOS(E_F) in states/eV per cell: 2.04
DFT formation energy in eV/atom: -0.069

```
LiCaBeSn2
1.0
-2.6217 3.7400 -1.0637
-3.9076 -2.1721 1.9942
1.0977 2.0012 4.3307
Be Ca Sn Li
1 1 2 1
Cartesian
0.0000 0.0000 0.0000
-2.7158 1.7846 2.6306
0.5489 1.0006 2.1653
-1.9538 -1.0860 0.9971
-1.3109 1.8700 -0.5319
```

---

No. 4
Below is an optimized crystal structure of Ca2MgBeRe, with properties calculated at the GGA-PBEsol level.

Output
E in eV per atom: -3.412
Symmetry: P4/mmm (123)
DOS(E_F) in states/eV per cell: 4.40
DFT formation energy in eV/atom: 1.251

```
Ca2MgBeRe
1.0
-0.6639 -4.9068 1.2557
4.9363 -0.2154 1.7681
-1.6454 1.4432 4.7696
Re Ca Mg Be
1 2 1 1
Cartesian
0.0000 0.0000 0.0000
-0.8227 0.7216 2.3848
2.4681 -0.1077 0.8840
-0.3319 -2.4534 0.6278
1.3135 -1.8395 3.8967
```

---

No. 5
Below is an optimized crystal structure of Ca2MnBe, with properties calculated at the GGA-PBEsol level.

Output
E in eV per atom: -4.106
Symmetry: P4mm (99)
DOS(E_F) in states/eV per cell: 4.51
DFT formation energy in eV/atom: 0.401

```
Ca2MnBe
1.0
-0.6619 3.0940 -0.3677
-1.4841 -0.6436 -2.7439
-7.0078 -1.0202 4.0296
Be Ca Mn
1 2 1
Cartesian
-5.7118 0.5498 1.1116
-6.4806 -0.9435 3.7265
-3.3537 0.8931 -0.2444
-4.1194 -0.5997 2.3687
```

---

No. 6
Below is an optimized crystal structure of CaMnBe2Ni, with properties calculated at the GGA-PBEsol level.

Output
E in eV per atom: -2.815
Symmetry: P4/mmm (123)
DOS(E_F) in states/eV per cell: 4.71
DFT formation energy in eV/atom: 2.396

```
CaMnBe2Ni
1.0
4.2590 0.0000 0.0000
0.0000 4.4875 0.0000
0.0000 0.0000 4.4875
Ni Ca Mn Be
1 1 1 2
Cartesian
2.1295 2.2438 2.2438
0.0000 0.0000 0.0000
2.1295 0.0000 0.0000
0.0000 0.0000 2.2438
0.0000 2.2438 0.0000
```